Record 1
{"formula": "HfBRu3", "functional": "GGA-PBE", "state": "optimized geometry", "lattice": [[-0.310, 2.675, 1.048], [-5.982, 0.513, -3.078], [1.926, -2.165, 6.093]], "species": ["Ru", "Ru", "Ru", "B", "Hf"], "fractional_positions": [[0.000, 0.268, 0.732], [0.500, 0.137, 0.329], [0.500, 0.671, 0.863], [0.000, 0.458, 0.542], [0.500, 0.094, 0.906]], "ef_ev_per_fu": 2.9}

=====

Record 2
{"formula": "Hf2BRu", "functional": "GGA-PBE", "state": "optimized geometry", "lattice": [[6.608, 0.000, 0.000], [0.000, 6.608, 0.000], [3.304, 3.304, 3.132]], "species": ["Hf", "Hf", "Hf", "Hf", "Ru", "Ru", "B", "B"], "fractional_positions": [[0.875, 0.838, 0.750], [0.375, 0.412, 0.750], [0.588, 0.125, 0.250], [0.162, 0.625, 0.250], [0.750, 0.250, 0.500], [0.000, 0.000, 0.000], [0.250, 0.750, 0.500], [0.500, 0.500, 0.000]], "ef_ev_per_fu": 0.9}